First-principles (GGA-PBE) data for a relaxed ZrBe2Hg crystal, as listed in Alexandria.

It has space group I-4m2 (No. 119), with a = 4.0049 Å, b = 4.0049 Å, c = 7.9939 Å, α = 90.00°, β = 90.00° and γ = 90.00°. The asymmetric unit holds Zr at (0.0000, 0.0000, 0.0000), Be at (0.0000, 0.0000, 0.5000), Be at (0.0000, 0.5000, 0.7500) and Hg at (0.0000, 0.5000, 0.2500).

For the formation energy from the elements, the calculation gives 305 meV per atom. For the total energy, the calculation gives -3.771 eV per atom.